# 1
# InRhF2

InRhF2 after structural relaxation (PBE-GGA, Alexandria via LeMat-Bulk).

Values from the calculation:
Space-group type: No. 166
Formation energy from raw total energies in eV/atom: -1.009
DOS(E_F) in states/eV per atom: 0.55
Total magnetization in μB/f.u.: 0.4
Distance to the lowest polymorph of the same formula in meV/atom: 0

abc: 2.9083 2.9083 24.0957
angles: 90.00 90.00 120.00
Sites, in units of the cell vectors:
In 0.0000 0.0000 0.0000
In 0.3333 0.6667 0.6667
In 0.6667 0.3333 0.3333
Rh 0.0000 0.0000 0.5000
Rh 0.3333 0.6667 0.1667
Rh 0.6667 0.3333 0.8333
F 0.0000 0.0000 0.4166
F 0.0000 0.0000 0.5834
F 0.3333 0.6667 0.0833
F 0.3333 0.6667 0.2500
F 0.6667 0.3333 0.7500
F 0.6667 0.3333 0.9167

***

# 2
# InRh2F

InRh2F after structural relaxation (PBE-GGA, Alexandria via LeMat-Bulk).

Values from the calculation:
Space-group type: No. 225
Formation energy from raw total energies in eV/atom: -0.062
DOS(E_F) in states/eV per atom: 2.32
Total magnetization in μB/f.u.: 0.9
Distance to the lowest polymorph of the same formula in meV/atom: 177

abc: 6.2696 6.2696 6.2696
angles: 90.00 90.00 90.00
Sites, in units of the cell vectors:
In 0.0000 0.0000 0.0000
In 0.0000 0.5000 0.5000
In 0.5000 0.0000 0.5000
In 0.5000 0.5000 0.0000
Rh 0.2500 0.2500 0.2500
Rh 0.2500 0.2500 0.7500
Rh 0.2500 0.7500 0.2500
Rh 0.2500 0.7500 0.7500
Rh 0.7500 0.2500 0.2500
Rh 0.7500 0.2500 0.7500
Rh 0.7500 0.7500 0.2500
Rh 0.7500 0.7500 0.7500
F 0.0000 0.0000 0.5000
F 0.0000 0.5000 0.0000
F 0.5000 0.0000 0.0000
F 0.5000 0.5000 0.5000

***

# 3
# InRhF2

InRhF2 after structural relaxation (PBE-GGA, Alexandria via LeMat-Bulk).

Values from the calculation:
Space-group type: No. 166
Formation energy from raw total energies in eV/atom: -0.775
DOS(E_F) in states/eV per atom: 0.74
Total magnetization in μB/f.u.: 2.2
Distance to the lowest polymorph of the same formula in meV/atom: 233

abc: 3.1286 3.1286 23.3640
angles: 90.00 90.00 120.00
Sites, in units of the cell vectors:
In 0.0000 0.0000 0.0000
In 0.3333 0.6667 0.6667
In 0.6667 0.3333 0.3333
Rh 0.0000 0.0000 0.5000
Rh 0.3333 0.6667 0.1667
Rh 0.6667 0.3333 0.8333
F 0.0000 0.0000 0.0998
F 0.0000 0.0000 0.9002
F 0.3333 0.6667 0.5669
F 0.3333 0.6667 0.7664
F 0.6667 0.3333 0.2336
F 0.6667 0.3333 0.4331

***

# 4
# InRh2F

InRh2F after structural relaxation (PBE-GGA, Alexandria via LeMat-Bulk).

Values from the calculation:
Space-group type: No. 122
Formation energy from raw total energies in eV/atom: -0.239
DOS(E_F) in states/eV per atom: 1.01
Total magnetization in μB/f.u.: 1.1
Distance to the lowest polymorph of the same formula in meV/atom: 0

abc: 3.6331 3.6331 19.9187
angles: 90.00 90.00 90.00
Sites, in units of the cell vectors:
In 0.0000 0.0000 0.0000
In 0.0000 0.5000 0.2500
In 0.5000 0.0000 0.7500
In 0.5000 0.5000 0.5000
Rh 0.2439 0.2500 0.6250
Rh 0.2500 0.7439 0.8750
Rh 0.2500 0.7561 0.3750
Rh 0.2561 0.2500 0.1250
Rh 0.7439 0.7500 0.1250
Rh 0.7500 0.2439 0.3750
Rh 0.7500 0.2561 0.8750
Rh 0.7561 0.7500 0.6250
F 0.0000 0.0000 0.5000
F 0.0000 0.5000 0.7500
F 0.5000 0.0000 0.2500
F 0.5000 0.5000 0.0000

***

Question: Look up the formation energy from raw total energies of the fourth one.
Answer: -0.239 eV/atom